Record 1
A geometry-optimized Sc2Pd7Pt structure. Source: Alexandria, functional PBE-GGA.

a b c (Å): 8.340 15.340 2.881
angles (deg): 90.00 90.00 90.00
Space group Cmmm (No. 65)
Unique sites:
Sc1 0.000 0.176 0.000 [4 per cell]
Pd1 0.000 0.000 0.000 [2 per cell]
Pd2 0.000 0.316 0.500 [4 per cell]
Pd3 0.229 0.404 0.000 [8 per cell]
Pt1 0.000 0.500 0.500 [2 per cell]

Computed properties:
Formation energy = -0.12 eV per atom



Record 2
A geometry-optimized Sc6Pd12Pt structure. Source: Alexandria, functional PBE-GGA.

a b c (Å): 9.9114 9.9114 11.6166
angles (deg): 90.00 90.00 120.00
Space group R-3 (No. 148, hexagonal axes)
Unique sites:
Sc1 0.0195 0.5906 0.2301 [18 per cell]
Pd1 0.0426 0.8579 0.3168 [18 per cell]
Pd2 0.0577 0.1951 0.9030 [18 per cell]
Pt1 0.0000 0.0000 0.5000 [3 per cell]

Computed properties:
Formation energy = -0.74 eV per atom



Record 3
A geometry-optimized ScSiPdPt structure. Source: Alexandria, functional PBE-GGA.

a b c (Å): 6.331 6.331 6.331
angles (deg): 90.00 90.00 90.00
Space group F-43m (No. 216)
Unique sites:
Sc1 0.000 0.000 0.000 [4 per cell]
Si1 0.000 0.000 0.500 [4 per cell]
Pd1 0.250 0.250 0.750 [4 per cell]
Pt1 0.250 0.250 0.250 [4 per cell]

Computed properties:
Formation energy without anion corrections = -0.841 eV/atom



Record 4
A geometry-optimized Sc2Si4PdPt3 structure. Source: Alexandria, functional PBE-GGA.

a b c (Å): 4.069 4.069 10.004
angles (deg): 90.00 90.00 90.00
Space group P-4m2 (No. 115)
Unique sites:
Sc1 0.000 0.500 0.247 [2 per cell]
Si1 0.000 0.000 0.500 [1 per cell]
Si2 0.000 0.500 0.864 [2 per cell]
Si3 0.500 0.500 0.500 [1 per cell]
Pd1 0.500 0.500 0.000 [1 per cell]
Pt1 0.000 0.000 0.000 [1 per cell]
Pt2 0.000 0.500 0.630 [2 per cell]

Computed properties:
Formation energy without anion corrections = -0.935 eV/atom



The calculation returns the following total moment values, one per record and in order: 0.000, 0.000, 0.000, 0.000 μB per atom.
The calculation returns the following density of states at the Fermi level values, one per record and in order: 8.34, 8.78, 3.07, 7.00 states/eV/f.u..